This record from the Alexandria database describes a geometry-optimized FeSeOF2 structure. The functional is PBE+U.

abc: 4.148 4.148 3.917
angles: 90.00 90.00 90.00
Space group P4/mmm (No. 123)
One atom of each set of equivalent atoms:
Fe1 0.000 0.000 0.000 x1
Se1 0.500 0.500 0.500 x1
O1 0.000 0.000 0.500 x1
F1 0.000 0.500 0.000 x2

Computed properties:
For the density, the calculation gives 4.65 g/cm3. For the raw total energy, the calculation gives -4.5005 eV/atom. For the energy above the most stable polymorph in this dataset, the calculation gives 0.0 meV/atom.